Record 1
Density functional theory data (PBEsol) for a geometry-optimized AsP3Pd structure.

a = 4.569 Å, b = 4.569 Å, c = 4.569 Å
α = 90.00°, β = 90.00°, γ = 90.00°
Space group Pm-3m (No. 221)
One atom of each set of equivalent atoms:
As: 0.000 0.000 0.000 [1 per cell]
P: 0.000 0.000 0.500 [3 per cell]
Pd: 0.500 0.500 0.500 [1 per cell]

Values from the calculation:
Density of states at the Fermi level (states/eV per atom): 0.836
Total energy (eV/cell): -22.712

---

Record 2
Density functional theory data (PBEsol) for a geometry-optimized AsPPt2 structure.

a = 7.554 Å, b = 3.471 Å, c = 5.155 Å
α = 90.00°, β = 92.42°, γ = 90.00°
Space group Cm (No. 8)
One atom of each set of equivalent atoms:
As: 0.000 0.000 0.000 [2 per cell]
P: 0.289 0.000 0.507 [2 per cell]
Pt: 0.083 0.500 0.681 [2 per cell]
Pt: 0.217 0.500 0.203 [2 per cell]

Values from the calculation:
Density of states at the Fermi level (states/eV per atom): 0.403
Total energy (eV/cell): -52.421
Excess energy over the best structure of this formula in the dataset (eV per atom): 0.0000

---

Record 3
Density functional theory data (PBEsol) for a geometry-optimized As3PPt structure.

a = 4.565 Å, b = 4.565 Å, c = 4.565 Å
α = 90.00°, β = 90.00°, γ = 90.00°
Space group Pm-3m (No. 221)
One atom of each set of equivalent atoms:
As: 0.000 0.000 0.500 [3 per cell]
P: 0.000 0.000 0.000 [1 per cell]
Pt: 0.500 0.500 0.500 [1 per cell]

Values from the calculation:
Density of states at the Fermi level (states/eV per atom): 0.507
Total energy (eV/cell): -23.729

---

- Which formula does entry 3 have?
  As3PPt

---

- Look up the total energy of the first one.
  -22.712 eV/cell

---

- Among the records above, which one has the highest total energy?
  AsP3Pd

---

- What is the total energy in the third record?
  -23.729 eV/cell